PrNdSn: relaxed, PBE.

Properties
density: 7.4 g/cm³
energy of formation: -0.500 eV per atom
symmetry: No. 107
uncorrected energy: -5.017 eV per atom

a b c (Å): 4.2282 4.2282 5.8586
angles (deg): 111.15 111.15 90.00
Closest atoms and distances in Å follow each position.
Fractional coordinates of all 3 atoms:
Pr 0.9613 0.9613 0.9226  1 Nd 3.12, 5 Sn 3.38-3.46
Nd 0.2711 0.2711 0.5423  1 Pr 3.12, 5 Sn 3.37-3.49
Sn 0.6175 0.6175 0.2351  5 Nd 3.37-3.49, 5 Pr 3.38-3.46